No. 1
First-principles (PBE-GGA) data for SrY2Te after structural relaxation, as listed in Alexandria.

It has space group I-42d (No. 122), with a = 9.471 Å, b = 9.471 Å, c = 6.716 Å, α = 90.00°, β = 90.00° and γ = 90.00°. The inequivalent atoms are Sr at (0.000, 0.000, 0.000), Y at (0.181, 0.250, 0.625) and Te at (0.000, 0.000, 0.500).

The energy relative to the elements, uncorrected is -0.302 eV/atom. As for the total magnetic moment: 6.107 μB per cell. Its density is 4.33 g/cm3.

=====

No. 2
First-principles (PBE-GGA) data for SrY2Te after structural relaxation, as listed in Alexandria.

It has space group R-3m (No. 166, hexagonal axes), with a = 4.0487 Å, b = 4.0487 Å, c = 31.2255 Å, α = 90.00°, β = 90.00° and γ = 120.00°. The inequivalent atoms are Sr at (0.0000, 0.0000, 0.0000), Y at (0.0000, 0.0000, 0.2290) and Te at (0.0000, 0.0000, 0.5000).

The energy relative to the elements, uncorrected is -0.500 eV/atom. As for the total magnetic moment: 0.000 μB per cell. Its density is 4.42 g/cm3.

=====

No. 3
First-principles (PBE-GGA) data for SrY2Te after structural relaxation, as listed in Alexandria.

It has space group Pmmm (No. 47), with a = 4.062 Å, b = 5.499 Å, c = 5.840 Å, α = 90.00°, β = 90.00° and γ = 90.00°. The inequivalent atoms are Sr at (0.000, 0.000, 0.000), Y at (0.000, 0.500, 0.500), Y at (0.500, 0.000, 0.500) and Te at (0.500, 0.500, 0.000).

The energy relative to the elements, uncorrected is -0.330 eV/atom. As for the total magnetic moment: 0.000 μB per cell. Its density is 5.00 g/cm3.

=====

No. 4
First-principles (PBE-GGA) data for SrY5Te8 after structural relaxation, as listed in Alexandria.

It has space group F-43m (No. 216), with a = 12.981 Å, b = 12.981 Å, c = 12.981 Å, α = 90.00°, β = 90.00° and γ = 90.00°. The inequivalent atoms are Sr at (0.000, 0.000, 0.000), Y at (0.126, 0.126, 0.626), Y at (0.250, 0.250, 0.250), Te at (0.117, 0.117, 0.383) and Te at (0.138, 0.138, 0.862).

The energy relative to the elements, uncorrected is -1.338 eV/atom. As for the total magnetic moment: 0.000 μB per cell. Its density is 4.72 g/cm3.

=====

No. 5
First-principles (PBE-GGA) data for SrY2Te2 after structural relaxation, as listed in Alexandria.

It has space group P4/mbm (No. 127), with a = 8.619 Å, b = 8.619 Å, c = 4.054 Å, α = 90.00°, β = 90.00° and γ = 90.00°. The inequivalent atoms are Sr at (0.000, 0.000, 0.000), Y at (0.148, 0.352, 0.500) and Te at (0.144, 0.644, 0.000).

Its energy above the lowest structure with this stoichiometry is 0.000 eV/atom. The energy relative to the elements, uncorrected is -1.001 eV/atom. As for the total magnetic moment: 1.093 μB per cell. Its density is 5.74 g/cm3.

=====

No. 6
First-principles (PBE-GGA) data for SrY5Te6 after structural relaxation, as listed in Alexandria.

It has space group C2/m (No. 12), with a = 7.624 Å, b = 13.225 Å, c = 7.686 Å, α = 90.00°, β = 109.36° and γ = 90.00°. The inequivalent atoms are Sr at (0.000, 0.000, 0.000), Y at (0.000, 0.157, 0.500), Y at (0.000, 0.333, 0.000), Y at (0.000, 0.500, 0.500), Te at (0.239, 0.500, 0.248) and Te at (0.242, 0.328, 0.741).

The energy relative to the elements, uncorrected is -1.365 eV/atom. As for the total magnetic moment: 0.000 μB per cell. Its density is 5.89 g/cm3.

=====

No. 7
First-principles (PBE-GGA) data for SrY3Te after structural relaxation, as listed in Alexandria.

It has space group Pm-3m (No. 221), with a = 5.821 Å, b = 5.821 Å, c = 5.821 Å, α = 90.00°, β = 90.00° and γ = 90.00°. The inequivalent atoms are Sr at (0.000, 0.000, 0.000), Y at (0.000, 0.500, 0.500) and Te at (0.500, 0.500, 0.500).

Its energy above the lowest structure with this stoichiometry is 0.000 eV/atom. The energy relative to the elements, uncorrected is -0.158 eV/atom. As for the total magnetic moment: 1.334 μB per cell. Its density is 4.06 g/cm3.

=====

No. 8
First-principles (PBE-GGA) data for SrY2Te after structural relaxation, as listed in Alexandria.

It has space group R3m (No. 160, hexagonal axes), with a = 4.0353 Å, b = 4.0353 Å, c = 31.1215 Å, α = 90.00°, β = 90.00° and γ = 120.00°. The inequivalent atoms are Sr at (0.0000, 0.0000, 0.0000), Y at (0.0000, 0.0000, 0.5286), Y at (0.0000, 0.0000, 0.7731) and Te at (0.0000, 0.0000, 0.2596).

The energy relative to the elements, uncorrected is -0.547 eV/atom. As for the total magnetic moment: 4.388 μB per cell. Its density is 4.46 g/cm3.

=====

No. 9
First-principles (PBE-GGA) data for SrY2Te after structural relaxation, as listed in Alexandria.

It has space group P4mm (No. 99), with a = 3.978 Å, b = 3.978 Å, c = 8.643 Å, α = 90.00°, β = 90.00° and γ = 90.00°. The inequivalent atoms are Sr at (0.000, 0.000, 0.000), Y at (0.000, 0.000, 0.441), Y at (0.500, 0.500, 0.678) and Te at (0.500, 0.500, 0.269).

The energy relative to the elements, uncorrected is -0.614 eV/atom. As for the total magnetic moment: 0.000 μB per cell. Its density is 4.77 g/cm3.

=====

No. 10
First-principles (PBE-GGA) data for SrY2Te after structural relaxation, as listed in Alexandria.

It has space group P2/m (No. 10), with a = 4.102 Å, b = 5.194 Å, c = 6.829 Å, α = 90.00°, β = 107.30° and γ = 90.00°. The inequivalent atoms are Sr at (0.000, 0.000, 0.000), Y at (0.357, 0.500, 0.715) and Te at (0.500, 0.000, 0.500).

The energy relative to the elements, uncorrected is -0.393 eV/atom. As for the total magnetic moment: 0.000 μB per cell. Its density is 4.70 g/cm3.

=====

No. 11
First-principles (PBE-GGA) data for SrZnTe2 after structural relaxation, as listed in Alexandria.

It has space group Pmmm (No. 47), with a = 4.114 Å, b = 5.260 Å, c = 5.345 Å, α = 90.00°, β = 90.00° and γ = 90.00°. The inequivalent atoms are Sr at (0.000, 0.000, 0.000), Zn at (0.000, 0.500, 0.500), Te at (0.500, 0.000, 0.500) and Te at (0.500, 0.500, 0.000).

The energy relative to the elements, uncorrected is -0.605 eV/atom. As for the total magnetic moment: 0.000 μB per cell. Its density is 5.86 g/cm3.

=====

No. 12
First-principles (PBE-GGA) data for SrZnTe2 after structural relaxation, as listed in Alexandria.

It has space group P4mm (No. 99), with a = 4.466 Å, b = 4.466 Å, c = 6.786 Å, α = 90.00°, β = 90.00° and γ = 90.00°. The inequivalent atoms are Sr at (0.000, 0.000, 0.000), Zn at (0.500, 0.500, 0.556), Te at (0.000, 0.000, 0.487) and Te at (0.500, 0.500, 0.946).

The energy relative to the elements, uncorrected is -0.794 eV/atom. As for the total magnetic moment: 0.000 μB per cell. Its density is 5.01 g/cm3.